The following is a DFT calculation (GGA-PBEsol) of a geometry-optimized RbSr3Sb structure.

Properties
Final energy   -12.7 eV/cell
Calculated volume   53.9 A^3/atom
Space group   No. 221

Unit cell a=6.4593 b=6.4593 c=6.4593 alpha=90.00 beta=90.00 gamma=90.00
With the nearest neighbours (Å) after each atom.
Sites, in units of the cell vectors:
Rb1 0.0000 0.0000 0.0000  12 Sr 4.57
Sr1 0.0000 0.5000 0.5000  2 Sb 3.23
Sr2 0.5000 0.0000 0.5000  2 Sb 3.23
Sr3 0.5000 0.5000 0.0000  2 Sb 3.23
Sb1 0.5000 0.5000 0.5000  6 Sr 3.23